! MgAlCdGa | Alexandria via LeMat-Bulk | PBE | optimized geometry; values from VASP
&SYSTEM
  ibrav = 0, nat = 4, ntyp = 4
/
ATOMIC_SPECIES
Mg 24.30 Mg.upf
Al 26.98 Al.upf
Ga 69.72 Ga.upf
Cd 112.41 Cd.upf
CELL_PARAMETERS angstrom
4.8232 0.0000 0.0000
2.4116 4.1770 0.0000
2.4116 1.3923 3.9381
ATOMIC_POSITIONS crystal
Mg 0.0000 0.0000 0.0000
Al 0.5000 0.5000 0.5000
Ga 0.2500 0.2500 0.2500
Cd 0.7500 0.7500 0.7500
! Size of the total moment = 0.00 μB/cell
! Energy of formation = 0.04 eV/atom